(1)
Compound: NdSm2Dy4Er
Source: Alexandria via LeMat-Bulk
Functional: GGA-PBE
Structure: relaxed

Lattice parameters (Å, degrees): 9.5174 9.5174 9.5174 138.00 103.26 91.57
Closest atoms and distances in Å follow each position.
Positions (direct):
Nd: 0.0000 0.0000 0.0000  6 Dy 3.32-3.41, 2 Sm 3.41
Nd: 0.5000 0.0000 0.5000  6 Dy 3.32-3.41, 2 Sm 3.41
Sm: 0.0000 0.5000 0.5000  6 Dy 3.32-3.41, 2 Nd 3.41
Sm: 0.5000 0.0000 0.0000  6 Dy 3.37-3.45, 2 Sm 3.41
Sm: 0.5000 0.5000 0.0000  6 Dy 3.32-3.41, 2 Nd 3.41
Sm: 0.5000 0.5000 0.5000  6 Dy 3.37-3.45, 2 Sm 3.41
Dy: 0.2463 0.2469 0.5006  1 Er 3.27, 3 Sm 3.37-3.41, 2 Dy 3.40-3.42, 2 Nd 3.41
Dy: 0.2463 0.7457 0.9994  1 Er 3.27, 3 Sm 3.37-3.41, 2 Dy 3.40-3.42, 2 Nd 3.41
Dy: 0.2464 0.7498 0.4966  3 Sm 3.32-3.45, 1 Nd 3.32, 2 Er 3.38, 2 Dy 3.41
Dy: 0.2468 0.2502 0.9966  3 Sm 3.32-3.45, 1 Nd 3.32, 2 Er 3.38, 2 Dy 3.41
Dy: 0.7532 0.7498 0.0034  3 Sm 3.32-3.45, 1 Nd 3.32, 2 Er 3.38, 2 Dy 3.41
Dy: 0.7536 0.2502 0.5034  3 Sm 3.32-3.45, 1 Nd 3.32, 2 Er 3.38, 2 Dy 3.41
Dy: 0.7537 0.2543 0.0006  1 Er 3.27, 3 Sm 3.37-3.41, 2 Dy 3.40-3.42, 2 Nd 3.41
Dy: 0.7537 0.7531 0.4994  1 Er 3.27, 3 Sm 3.37-3.41, 2 Dy 3.40-3.42, 2 Nd 3.41
Er: 0.0000 0.0000 0.5000  6 Dy 3.27-3.38, 2 Er 3.41
Er: 0.0000 0.5000 0.0000  6 Dy 3.27-3.38, 2 Er 3.41

Summary:
For the density of states at the Fermi level, the calculation gives 2.28 states/eV per atom. The space-group type is No. 74. For the formation energy, the calculation gives 0.422 eV per atom. Its electronic total energy is -33.80 eV per formula unit. As for the volume: 33.43 Å³ per atom.

---

(2)
Compound: NaMnPCl2
Source: Alexandria via LeMat-Bulk
Functional: GGA-PBE
Structure: relaxed

Lattice parameters (Å, degrees): 4.8601 4.8601 5.4388 90.00 90.00 90.00
Closest atoms and distances in Å follow each position.
Positions (direct):
Na: 0.0000 0.0000 0.0000  4 Cl 2.43, 2 P 2.72
Mn: 0.5000 0.5000 0.5000  4 P 3.44, 8 Cl 3.65
P: 0.0000 0.0000 0.5000  2 Na 2.72
Cl: 0.0000 0.5000 0.0000  2 Na 2.43
Cl: 0.5000 0.0000 0.0000  2 Na 2.43

Summary:
For the formation energy from raw total energies, the calculation gives 0.3401 eV per atom. For the density of states at the Fermi level, the calculation gives 0.56 states/eV per atom. The space-group type is No. 123. Its electronic total energy is -17.89 eV per formula unit. As for the volume: 25.69 Å³ per atom.

---

(3)
Compound: RbOsRh
Source: Alexandria via LeMat-Bulk
Functional: GGA-PBE
Structure: relaxed

Lattice parameters (Å, degrees): 4.6116 4.6116 7.8005 90.00 90.00 90.00
Closest atoms and distances in Å follow each position.
Positions (direct):
Rb: 0.2500 0.2500 0.1489  4 Rh 3.58, 5 Os 3.63-3.75, 4 Rb 4.00
Rb: 0.7500 0.7500 0.8511  4 Rh 3.58, 5 Os 3.63-3.75, 4 Rb 4.00
Os: 0.2500 0.2500 0.6142  4 Rh 2.47
Os: 0.7500 0.7500 0.3858  4 Rh 2.47
Rh: 0.2500 0.7500 0.5000  4 Os 2.47
Rh: 0.7500 0.2500 0.5000  4 Os 2.47

Summary:
For the density of states at the Fermi level, the calculation gives 1.04 states/eV per atom. The space-group type is No. 129. For the formation energy, the calculation gives 0.821 eV per atom. Its electronic total energy is -17.08 eV per formula unit. As for the volume: 27.65 Å³ per atom.

---

(4)
Compound: Ac4NiIrAu2
Source: Alexandria via LeMat-Bulk
Functional: GGA-PBE
Structure: relaxed

Lattice parameters (Å, degrees): 7.5641 4.3752 7.8703 90.00 108.74 90.00
Closest atoms and distances in Å follow each position.
Positions (direct):
Ac: 0.2384 0.0000 0.2233  2 Ir 3.02, 1 Ni 3.04, 3 Au 3.24-3.27
Ac: 0.2562 0.5000 0.7770  1 Ir 3.00, 2 Ni 3.03, 3 Au 3.25-3.28
Ac: 0.7438 0.5000 0.2230  1 Ir 3.00, 2 Ni 3.03, 3 Au 3.25-3.28
Ac: 0.7616 0.0000 0.7767  2 Ir 3.02, 1 Ni 3.04, 3 Au 3.24-3.27
Ni: 0.5000 0.0000 0.0000  6 Ac 3.03-3.04
Ir: 0.0000 0.5000 0.0000  6 Ac 3.00-3.02
Au: 0.0000 0.0000 0.5000  6 Ac 3.24-3.25
Au: 0.5000 0.5000 0.5000  6 Ac 3.27-3.28

Summary:
For the density of states at the Fermi level, the calculation gives 0.49 states/eV per atom. The space-group type is No. 10. For the formation energy, the calculation gives -0.646 eV per atom. Its electronic total energy is -42.80 eV per formula unit. As for the volume: 30.83 Å³ per atom.

---

(5)
Compound: Cs2HgO2
Source: Alexandria via LeMat-Bulk
Functional: GGA-PBE
Structure: relaxed

Lattice parameters (Å, degrees): 8.3549 6.0522 12.3334 90.00 90.00 90.00
Closest atoms and distances in Å follow each position.
Positions (direct):
Cs: 0.0546 0.2500 0.2426  4 O 3.05-3.17
Cs: 0.1606 0.2500 0.5975  4 O 2.92-3.19
Cs: 0.3394 0.7500 0.0975  4 O 2.92-3.19
Cs: 0.4454 0.7500 0.7426  4 O 3.05-3.17
Cs: 0.5546 0.2500 0.2574  4 O 3.05-3.17
Cs: 0.6606 0.2500 0.9025  4 O 2.92-3.19
Cs: 0.8394 0.7500 0.4025  4 O 2.92-3.19
Cs: 0.9454 0.7500 0.7574  4 O 3.05-3.17
Hg: 0.1701 0.2500 0.9397  2 O 2.00-2.01
Hg: 0.3299 0.7500 0.4397  2 O 2.00-2.01
Hg: 0.6701 0.2500 0.5603  2 O 2.00-2.01
Hg: 0.8299 0.7500 0.0603  2 O 2.00-2.01
O: 0.0197 0.2500 0.8139  1 Hg 2.00
O: 0.1801 0.7500 0.5675  1 Hg 2.01
O: 0.3199 0.2500 0.0675  1 Hg 2.01
O: 0.4803 0.7500 0.3139  1 Hg 2.00
O: 0.5197 0.2500 0.6861  1 Hg 2.00
O: 0.6801 0.7500 0.9325  1 Hg 2.01
O: 0.8199 0.2500 0.4325  1 Hg 2.01
O: 0.9803 0.7500 0.1861  1 Hg 2.00

Summary:
For the formation energy from raw total energies, the calculation gives -0.9938 eV per atom. For the density of states at the Fermi level, the calculation gives 0.00 states/eV per atom. The space-group type is No. 62. Its electronic total energy is -16.89 eV per formula unit. As for the volume: 31.18 Å³ per atom.

---

(6)
Compound: LaSi2Pd
Source: Alexandria via LeMat-Bulk
Functional: GGA-PBE
Structure: relaxed

Lattice parameters (Å, degrees): 13.8684 4.2178 10.7932 90.00 90.00 90.00
Closest atoms and distances in Å follow each position.
Positions (direct):
La: 0.0509 0.2500 0.2493  9 Si 3.10-3.34, 3 Pd 3.31-3.32
La: 0.2013 0.7500 0.5132  4 Pd 3.18-3.42, 10 Si 3.18-3.37
La: 0.2987 0.2500 0.0132  4 Pd 3.18-3.42, 10 Si 3.18-3.37
La: 0.4491 0.7500 0.7493  9 Si 3.10-3.34, 3 Pd 3.31-3.32
La: 0.5509 0.2500 0.2507  9 Si 3.10-3.34, 3 Pd 3.31-3.32
La: 0.7013 0.7500 0.9868  4 Pd 3.18-3.42, 10 Si 3.18-3.37
La: 0.7987 0.2500 0.4868  4 Pd 3.18-3.42, 10 Si 3.18-3.37
La: 0.9491 0.7500 0.7507  9 Si 3.10-3.34, 3 Pd 3.31-3.32
Si: 0.0285 0.2500 0.5425  3 Si 2.37-2.43
Si: 0.1166 0.2500 0.7306  2 Si 2.37, 3 Pd 2.43-2.55
Si: 0.1227 0.7500 0.0279  1 Si 2.41, 4 Pd 2.47-2.61
Si: 0.2126 0.7500 0.2189  2 Si 2.37-2.41, 2 Pd 2.61
Si: 0.2874 0.2500 0.7189  2 Si 2.37-2.41, 2 Pd 2.61
Si: 0.3773 0.2500 0.5279  1 Si 2.41, 4 Pd 2.47-2.61
Si: 0.3834 0.7500 0.2306  2 Si 2.37, 3 Pd 2.43-2.55
Si: 0.4715 0.7500 0.0425  3 Si 2.37-2.43
Si: 0.5285 0.2500 0.9575  3 Si 2.37-2.43
Si: 0.6166 0.2500 0.7694  2 Si 2.37, 3 Pd 2.43-2.55
Si: 0.6227 0.7500 0.4721  1 Si 2.41, 4 Pd 2.47-2.61
Si: 0.7126 0.7500 0.2811  2 Si 2.37-2.41, 2 Pd 2.61
Si: 0.7874 0.2500 0.7811  2 Si 2.37-2.41, 2 Pd 2.61
Si: 0.8773 0.2500 0.9721  1 Si 2.41, 4 Pd 2.47-2.61
Si: 0.8834 0.7500 0.2694  2 Si 2.37, 3 Pd 2.43-2.55
Si: 0.9715 0.7500 0.4575  3 Si 2.37-2.43
Pd: 0.0581 0.2500 0.9428  4 Si 2.43-2.53
Pd: 0.2009 0.7500 0.8078  5 Si 2.55-2.61
Pd: 0.2991 0.2500 0.3078  5 Si 2.55-2.61
Pd: 0.4419 0.7500 0.4428  4 Si 2.43-2.53
Pd: 0.5581 0.2500 0.5572  4 Si 2.43-2.53
Pd: 0.7009 0.7500 0.6922  5 Si 2.55-2.61
Pd: 0.7991 0.2500 0.1922  5 Si 2.55-2.61
Pd: 0.9419 0.7500 0.0572  4 Si 2.43-2.53

Summary:
For the formation energy from raw total energies, the calculation gives -0.8471 eV per atom. For the density of states at the Fermi level, the calculation gives 0.41 states/eV per atom. The space-group type is No. 62. Its electronic total energy is -24.35 eV per formula unit. As for the volume: 19.73 Å³ per atom.